# 1
The following is a DFT calculation (GGA-PBE) of a geometry-optimized TmMgAg structure.

Calculated values
symmetry = F-43m

Lattice parameters (Å, degrees): 4.756 4.756 4.756 60.00 60.00 60.00
Positions (direct):
1 Mg 0.000 0.000 0.000
2 Tm 0.750 0.750 0.750
3 Ag 0.250 0.250 0.250

---

# 2
The following is a DFT calculation (GGA-PBE) of a geometry-optimized TmMg2Ag structure.

Calculated values
symmetry = Pmm2

Lattice parameters (Å, degrees): 4.152 4.626 4.626 90.00 90.00 90.00
Positions (direct):
1 Mg 0.500 0.000 0.754
2 Mg 0.500 0.500 0.247
3 Ag 0.000 0.000 0.253
4 Tm 0.000 0.500 0.747

---

# 3
The following is a DFT calculation (GGA-PBE) of a geometry-optimized Tm3Mg3ZnAg2 structure.

Calculated values
symmetry = P-62m

Lattice parameters (Å, degrees): 7.586 7.586 4.085 90.00 90.00 120.00
Positions (direct):
1 Ag 0.667 0.333 0.500
2 Ag 0.333 0.667 0.500
3 Tm 0.588 0.000 0.000
4 Tm 0.412 0.412 0.000
5 Tm 0.000 0.588 0.000
6 Mg 0.245 0.000 0.500
7 Mg 0.000 0.245 0.500
8 Mg 0.755 0.755 0.500
9 Zn 0.000 0.000 0.000

---

# 4
The following is a DFT calculation (GGA-PBE) of a geometry-optimized YMg2Ag structure.

Calculated values
symmetry = F-43m

Lattice parameters (Å, degrees): 5.006 5.006 5.006 60.00 60.00 60.00
Positions (direct):
1 Mg 0.250 0.250 0.250
2 Mg 0.500 0.500 0.500
3 Y 0.000 0.000 0.000
4 Ag 0.750 0.750 0.750

---

# 5
The following is a DFT calculation (GGA-PBE) of a geometry-optimized YMg6Ag structure.

Calculated values
symmetry = P-6m2

Lattice parameters (Å, degrees): 6.504 6.504 5.052 90.00 90.00 120.00
Positions (direct):
1 Mg 0.501 0.002 0.500
2 Mg 0.340 0.170 0.000
3 Mg 0.501 0.499 0.500
4 Mg 0.830 0.170 0.000
5 Mg 0.998 0.499 0.500
6 Mg 0.830 0.660 0.000
7 Ag 0.333 0.667 0.000
8 Y 0.000 0.000 0.500

---

# 6
The following is a DFT calculation (GGA-PBE) of a geometry-optimized Y3Mg3Zn2Ag structure.

Calculated values
symmetry = P-62m

Lattice parameters (Å, degrees): 7.600 7.600 4.148 90.00 90.00 120.00
Positions (direct):
1 Zn 0.667 0.333 0.500
2 Zn 0.333 0.667 0.500
3 Y 0.414 0.414 0.000
4 Y 0.586 0.000 0.000
5 Y 0.000 0.586 0.000
6 Mg 0.249 0.000 0.500
7 Mg 0.000 0.249 0.500
8 Mg 0.751 0.751 0.500
9 Ag 0.000 0.000 0.000

---

The calculation returns the following energy values, one per record and in order: -2.65; -2.66; -3.04; -3.29; -2.34; -3.57 eV/atom.